Entry 1:
An optimized crystal structure of EuPu2Fe, computed with GGA-PBE.

## Properties
relative energy among the computed polymorphs = 0.167 eV/atom
VASP energy = -46.05 eV/cell
calculated formation energy = 0.34 eV/atom

Cell lengths 4.5037, 4.5037, 6.4927 Å; angles 69.71, 69.71, 60.00 degrees
Closest atoms and distances in Å follow each position.
Element x y z (fractional)
Eu 0.5000 0.5000 0.5000  6 Pu 3.34
Fe 0.0000 0.0000 0.0000  6 Pu 2.75
Pu 0.2837 0.2837 0.1489  3 Fe 2.75
Pu 0.7163 0.7163 0.8511  3 Fe 2.75

=====

Entry 2:
An optimized crystal structure of EuPu2Fe, computed with GGA-PBE.

## Properties
relative energy among the computed polymorphs = 0.000 eV/atom
VASP energy = -46.71 eV/cell
calculated formation energy = 0.17 eV/atom

Cell lengths 3.3469, 3.3469, 9.0764 Å; angles 90.00, 90.00, 90.00 degrees
Closest atoms and distances in Å follow each position.
Element x y z (fractional)
Eu 0.5000 0.5000 0.5000  4 Eu 3.35
Fe 0.5000 0.5000 0.0000  8 Pu 2.87
Pu 0.0000 0.0000 0.8212  4 Fe 2.87
Pu 0.0000 0.0000 0.1788  4 Fe 2.87

=====

Entry 3:
An optimized crystal structure of Eu3Fe5S12, computed with GGA-PBE.

## Properties
VASP energy = -555.91 eV/cell

Cell lengths 12.8172, 12.8172, 12.8172 Å; angles 109.47, 109.47, 109.47 degrees
Closest atoms and distances in Å follow each position.
Element x y z (fractional)
Eu 0.7500 0.3750 0.1250  8 S 2.94-2.95
Eu 0.8750 0.7500 0.1250  8 S 2.94-2.95
Eu 0.3750 0.7500 0.6250  8 S 2.94-2.95
Eu 0.2500 0.1250 0.3750  8 S 2.94-2.95
Eu 0.8750 0.1250 0.2500  8 S 2.94-2.95
Eu 0.3750 0.6250 0.2500  8 S 2.94-2.95
Eu 0.6250 0.3750 0.7500  8 S 2.94-2.95
Eu 0.1250 0.8750 0.7500  8 S 2.94-2.95
Eu 0.7500 0.8750 0.6250  8 S 2.94-2.95
Eu 0.6250 0.2500 0.3750  8 S 2.94-2.95
Eu 0.1250 0.2500 0.8750  8 S 2.94-2.95
Eu 0.2500 0.6250 0.8750  8 S 2.94-2.95
Fe 0.1250 0.3750 0.2500  4 S 2.19
Fe 0.0000 0.5000 0.0000  6 S 2.36
Fe 0.0000 0.0000 0.0000  6 S 2.36
Fe 0.3750 0.2500 0.1250  4 S 2.19
Fe 0.5000 0.0000 0.5000  6 S 2.36
Fe 0.5000 0.5000 0.0000  6 S 2.36
Fe 0.1250 0.7500 0.3750  4 S 2.19
Fe 0.7500 0.1250 0.8750  4 S 2.19
Fe 0.7500 0.6250 0.3750  4 S 2.19
Fe 0.3750 0.1250 0.7500  4 S 2.19
Fe 0.6250 0.8750 0.2500  4 S 2.19
Fe 0.5000 0.5000 0.5000  6 S 2.36
Fe 0.5000 0.0000 0.0000  6 S 2.36
Fe 0.0000 0.0000 0.5000  6 S 2.36
Fe 0.2500 0.3750 0.6250  4 S 2.19
Fe 0.2500 0.8750 0.1250  4 S 2.19
Fe 0.0000 0.5000 0.5000  6 S 2.36
Fe 0.8750 0.2500 0.6250  4 S 2.19
Fe 0.6250 0.7500 0.8750  4 S 2.19
Fe 0.8750 0.6250 0.7500  4 S 2.19
S 0.7006 0.1104 0.0192  2 Fe 2.19-2.36
S 0.3187 0.5192 0.4088  2 Fe 2.19-2.36
S 0.9808 0.3896 0.2994  2 Fe 2.19-2.36
S 0.5192 0.2006 0.1104  2 Fe 2.19-2.36
S 0.5902 0.7006 0.6813  2 Fe 2.19-2.36
S 0.9808 0.5912 0.1813  2 Fe 2.19-2.36
S 0.3187 0.7994 0.4098  2 Fe 2.19-2.36
S 0.0912 0.9098 0.1104  2 Fe 2.19-2.36
S 0.5912 0.9808 0.6813  2 Fe 2.19-2.36
S 0.7006 0.5902 0.1813  2 Fe 2.19-2.36
S 0.7994 0.4808 0.3896  2 Fe 2.19-2.36
S 0.8187 0.9088 0.0192  2 Fe 2.19-2.36
S 0.1104 0.7006 0.5192  2 Fe 2.19-2.36
S 0.3896 0.4088 0.0902  2 Fe 2.19-2.36
S 0.0902 0.9088 0.3896  2 Fe 2.19-2.36
S 0.4098 0.1104 0.5912  2 Fe 2.19-2.36
S 0.0902 0.1813 0.2006  2 Fe 2.19-2.36
S 0.4808 0.6813 0.0912  2 Fe 2.19-2.36
S 0.8187 0.9098 0.2994  2 Fe 2.19-2.36
S 0.1104 0.4098 0.0912  2 Fe 2.19-2.36
S 0.3896 0.9808 0.7994  2 Fe 2.19-2.36
S 0.5912 0.6104 0.4098  2 Fe 2.19-2.36
S 0.9088 0.8187 0.5192  2 Fe 2.19-2.36
S 0.7994 0.3187 0.9098  2 Fe 2.19-2.36
S 0.4088 0.3896 0.5902  2 Fe 2.19-2.36
S 0.0912 0.1813 0.4808  2 Fe 2.19-2.36
S 0.2006 0.6813 0.0902  2 Fe 2.19-2.36
S 0.1813 0.0902 0.7006  2 Fe 2.19-2.36
S 0.6104 0.0192 0.2006  2 Fe 2.19-2.36
S 0.8896 0.5902 0.9088  2 Fe 2.19-2.36
S 0.5192 0.3187 0.9088  2 Fe 2.19-2.36
S 0.5902 0.8896 0.4088  2 Fe 2.19-2.36
S 0.9098 0.8187 0.7994  2 Fe 2.19-2.36
S 0.9098 0.0912 0.6104  2 Fe 2.19-2.36
S 0.8896 0.2994 0.4808  2 Fe 2.19-2.36
S 0.1813 0.0912 0.9808  2 Fe 2.19-2.36
S 0.6104 0.5912 0.9098  2 Fe 2.19-2.36
S 0.4088 0.0192 0.3187  2 Fe 2.19-2.36
S 0.2994 0.4098 0.8187  2 Fe 2.19-2.36
S 0.2006 0.5192 0.6104  2 Fe 2.19-2.36
S 0.9088 0.0902 0.8896  2 Fe 2.19-2.36
S 0.6813 0.2006 0.5902  2 Fe 2.19-2.36
S 0.4808 0.7994 0.8896  2 Fe 2.19-2.36
S 0.0192 0.4088 0.8187  2 Fe 2.19-2.36
S 0.4098 0.2994 0.3187  2 Fe 2.19-2.36
S 0.0192 0.6104 0.7006  2 Fe 2.19-2.36
S 0.6813 0.4808 0.5912  2 Fe 2.19-2.36
S 0.2994 0.8896 0.9808  2 Fe 2.19-2.36

=====

Entry 4:
An optimized crystal structure of EuFeSb2, computed with GGA-PBE.

## Properties
VASP energy = -28.29 eV/cell

Cell lengths 4.2633, 4.2633, 6.5698 Å; angles 71.07, 71.07, 60.00 degrees
Closest atoms and distances in Å follow each position.
Element x y z (fractional)
Eu 0.5000 0.5000 0.5000  6 Sb 3.19
Sb 0.2773 0.2773 0.1681  3 Fe 2.67
Sb 0.7227 0.7227 0.8319  3 Fe 2.67
Fe 0.0000 0.0000 0.0000  6 Sb 2.67

=====

Entry 5:
An optimized crystal structure of Sm3EuFe, computed with GGA-PBE.

## Properties
VASP energy = -32.34 eV/cell
calculated formation energy = 0.11 eV/atom

Cell lengths 5.4370, 5.4370, 5.4370 Å; angles 90.00, 90.00, 90.00 degrees
Closest atoms and distances in Å follow each position.
Element x y z (fractional)
Eu 0.5000 0.5000 0.5000  12 Sm 3.84
Fe 0.0000 0.0000 0.0000  6 Sm 2.72
Sm 0.0000 0.5000 0.0000  2 Fe 2.72
Sm 0.0000 0.0000 0.5000  2 Fe 2.72
Sm 0.5000 0.0000 0.0000  2 Fe 2.72

=====

Entry 6:
An optimized crystal structure of SmEuFe4, computed with GGA-PBE.

## Properties
VASP energy = -47.70 eV/cell
calculated formation energy = 0.19 eV/atom

Cell lengths 5.2261, 5.2261, 5.2261 Å; angles 60.00, 60.00, 60.00 degrees
Closest atoms and distances in Å follow each position.
Element x y z (fractional)
Eu 0.0000 0.0000 0.0000  12 Fe 3.06, 4 Sm 3.20
Fe 0.6256 0.6256 0.1231  6 Fe 2.60-2.63
Fe 0.6256 0.1231 0.6256  6 Fe 2.60-2.63
Fe 0.6256 0.6256 0.6256  6 Fe 2.60-2.63
Fe 0.1231 0.6256 0.6256  6 Fe 2.60-2.63
Sm 0.2500 0.2500 0.2500  12 Fe 3.07, 4 Eu 3.20

=====

Entry 7:
An optimized crystal structure of Sm2EuFe, computed with GGA-PBE.

## Properties
VASP energy = -27.67 eV/cell
calculated formation energy = 0.13 eV/atom

Cell lengths 3.5194, 3.5194, 9.3229 Å; angles 90.00, 90.00, 90.00 degrees
Closest atoms and distances in Å follow each position.
Element x y z (fractional)
Eu 0.5000 0.5000 0.5000  4 Eu 3.52, 8 Sm 3.91
Fe 0.5000 0.5000 0.0000  8 Sm 2.99
Sm 0.0000 0.0000 0.8229  4 Fe 2.99, 1 Sm 3.30
Sm 0.0000 0.0000 0.1771  4 Fe 2.99, 1 Sm 3.30

=====

Entry 8:
An optimized crystal structure of Eu2FeTe, computed with GGA-PBE.

## Properties
VASP energy = -33.19 eV/cell

Cell lengths 3.9193, 5.3341, 5.3341 Å; angles 90.00, 90.00, 90.00 degrees
Closest atoms and distances in Å follow each position.
Element x y z (fractional)
Eu 0.0000 0.0000 0.5000  4 Fe 3.31, 4 Te 3.31
Eu 0.0000 0.5000 0.0000  4 Fe 3.31, 4 Te 3.31
Te 0.5000 0.0000 0.0000  8 Eu 3.31
Fe 0.5000 0.5000 0.5000  8 Eu 3.31

=====

Entry 9:
An optimized crystal structure of EuTh3Fe, computed with GGA-PBE.

## Properties
VASP energy = -40.59 eV/cell
calculated formation energy = 0.08 eV/atom

Cell lengths 5.3690, 5.3690, 5.3690 Å; angles 90.00, 90.00, 90.00 degrees
Closest atoms and distances in Å follow each position.
Element x y z (fractional)
Eu 0.5000 0.5000 0.5000  12 Th 3.80
Fe 0.0000 0.0000 0.0000  6 Th 2.68
Th 0.0000 0.5000 0.0000  2 Fe 2.68
Th 0.0000 0.0000 0.5000  2 Fe 2.68
Th 0.5000 0.0000 0.0000  2 Fe 2.68

=====

Entry 10:
An optimized crystal structure of EuThFe4, computed with GGA-PBE.

## Properties
VASP energy = -50.81 eV/cell
calculated formation energy = 0.12 eV/atom

Cell lengths 5.2231, 5.2231, 5.2231 Å; angles 60.00, 60.00, 60.00 degrees
Closest atoms and distances in Å follow each position.
Element x y z (fractional)
Eu 0.2500 0.2500 0.2500  12 Fe 3.06, 4 Th 3.20
Fe 0.6253 0.6253 0.1241  6 Fe 2.61-2.62
Fe 0.6253 0.1241 0.6253  6 Fe 2.61-2.62
Fe 0.6253 0.6253 0.6253  6 Fe 2.61-2.62
Fe 0.1241 0.6253 0.6253  6 Fe 2.61-2.62
Th 0.0000 0.0000 0.0000  12 Fe 3.06, 4 Eu 3.20

=====

Entry 11:
An optimized crystal structure of EuTm3Fe, computed with GGA-PBE.

## Properties
VASP energy = -32.00 eV/cell
calculated formation energy = 0.03 eV/atom

Cell lengths 5.2552, 5.2552, 5.2552 Å; angles 90.00, 90.00, 90.00 degrees
Closest atoms and distances in Å follow each position.
Element x y z (fractional)
Eu 0.5000 0.5000 0.5000  12 Tm 3.72
Tm 0.0000 0.5000 0.0000  2 Fe 2.63
Tm 0.0000 0.0000 0.5000  2 Fe 2.63
Tm 0.5000 0.0000 0.0000  2 Fe 2.63
Fe 0.0000 0.0000 0.0000  6 Tm 2.63

=====

Entry 12:
An optimized crystal structure of EuUFe2, computed with GGA-PBE.

## Properties
VASP energy = -37.25 eV/cell
calculated formation energy = 0.31 eV/atom

Cell lengths 3.3716, 3.3716, 8.1383 Å; angles 78.05, 78.05, 60.00 degrees
Closest atoms and distances in Å follow each position.
Element x y z (fractional)
Eu 0.5000 0.5000 0.5000  6 Fe 3.07, 6 Eu 3.37
U 0.0000 0.0000 0.0000  6 Fe 2.50
Fe 0.7331 0.7331 0.8008  3 U 2.50
Fe 0.2669 0.2669 0.1992  3 U 2.50

=====

Entry 13:
An optimized crystal structure of EuZrFe4, computed with GGA-PBE.

## Properties
VASP energy = -52.53 eV/cell
calculated formation energy = 0.02 eV/atom

Cell lengths 5.0758, 5.0758, 5.0758 Å; angles 60.00, 60.00, 60.00 degrees
Closest atoms and distances in Å follow each position.
Element x y z (fractional)
Eu 0.0000 0.0000 0.0000  12 Fe 2.98, 4 Zr 3.11
Fe 0.6245 0.6245 0.1266  6 Fe 2.53-2.55
Fe 0.6245 0.1266 0.6245  6 Fe 2.53-2.55
Fe 0.6245 0.6245 0.6245  6 Fe 2.53-2.55
Fe 0.1266 0.6245 0.6245  6 Fe 2.53-2.55
Zr 0.2500 0.2500 0.2500  12 Fe 2.97, 4 Eu 3.11

=====

Entry 14:
An optimized crystal structure of EuGa2, computed with GGA-PBE.

## Properties
VASP energy = -17.93 eV/cell
calculated formation energy = -0.53 eV/atom

Cell lengths 4.4068, 4.4068, 4.2137 Å; angles 90.00, 90.00, 120.00 degrees
Closest atoms and distances in Å follow each position.
Element x y z (fractional)
Eu 0.0000 0.0000 0.0000  12 Ga 3.30
Ga 0.6667 0.3333 0.5000  3 Ga 2.54
Ga 0.3333 0.6667 0.5000  3 Ga 2.54

=====

Entry 15:
An optimized crystal structure of EuGa2, computed with GGA-PBE.

## Properties
VASP energy = -35.67 eV/cell
calculated formation energy = -0.50 eV/atom

Cell lengths 5.6849, 5.6849, 5.6849 Å; angles 60.00, 60.00, 60.00 degrees
Closest atoms and distances in Å follow each position.
Element x y z (fractional)
Eu 0.0000 0.0000 0.0000  12 Ga 3.33, 4 Eu 3.48
Eu 0.2500 0.2500 0.2500  12 Ga 3.33, 4 Eu 3.48
Ga 0.1250 0.6250 0.6250  6 Ga 2.84
Ga 0.6250 0.1250 0.6250  6 Ga 2.84
Ga 0.6250 0.6250 0.6250  6 Ga 2.84
Ga 0.6250 0.6250 0.1250  6 Ga 2.84

=====

Entry 16:
An optimized crystal structure of EuGa, computed with GGA-PBE.

## Properties
VASP energy = -56.97 eV/cell
calculated formation energy = -0.47 eV/atom

Cell lengths 5.5381, 6.4484, 6.4461 Å; angles 66.44, 83.23, 83.17 degrees
Closest atoms and distances in Å follow each position.
Element x y z (fractional)
Eu 0.7008 0.3354 0.3351  8 Ga 3.16-3.31
Eu 0.7401 0.8772 0.8768  6 Ga 3.23-3.32, 5 Eu 3.48-3.58
Eu 0.2992 0.6646 0.6649  8 Ga 3.16-3.31
Eu 0.2599 0.1228 0.1232  6 Ga 3.23-3.32, 5 Eu 3.48-3.58
Ga 0.1906 0.1997 0.6068  2 Ga 2.75-2.88
Ga 0.1901 0.6067 0.1998  2 Ga 2.75-2.88
Ga 0.8094 0.8003 0.3932  2 Ga 2.75-2.88
Ga 0.8099 0.3933 0.8002  2 Ga 2.75-2.88

=====

Entry 17:
An optimized crystal structure of EuGa5, computed with GGA-PBE.

## Properties
VASP energy = -26.99 eV/cell
calculated formation energy = -0.26 eV/atom

Cell lengths 4.4741, 4.3765, 6.6124 Å; angles 109.32, 90.00, 90.00 degrees
Closest atoms and distances in Å follow each position.
Element x y z (fractional)
Eu 0.0000 0.0000 0.0000  12 Ga 3.13-3.16
Ga 0.0000 0.6832 0.3664  4 Ga 2.75-2.85
Ga 0.0000 0.3168 0.6336  4 Ga 2.75-2.85
Ga 0.5000 0.5000 0.0000  8 Ga 3.09-3.20, 4 Eu 3.13
Ga 0.5000 0.1753 0.3507  10 Ga 2.85-3.13, 2 Eu 3.13
Ga 0.5000 0.8247 0.6493  10 Ga 2.85-3.13, 2 Eu 3.13

=====

Entry 18:
An optimized crystal structure of EuGa3, computed with GGA-PBE.

## Properties
VASP energy = -20.54 eV/cell
calculated formation energy = -0.30 eV/atom

Cell lengths 4.4863, 4.4863, 5.3583 Å; angles 114.75, 114.75, 90.00 degrees
Closest atoms and distances in Å follow each position.
Element x y z (fractional)
Eu 0.0000 0.0000 0.0000  12 Ga 3.11-3.17
Ga 0.7500 0.2500 0.5000  8 Ga 3.11-3.17, 4 Eu 3.11
Ga 0.2500 0.7500 0.5000  4 Eu 3.11, 8 Ga 3.11-3.17
Ga 0.5000 0.5000 0.0000  8 Ga 3.11, 4 Eu 3.17

=====

Entry 19:
An optimized crystal structure of Eu5Ga9, computed with GGA-PBE.

## Properties
VASP energy = -172.70 eV/cell
calculated formation energy = -0.55 eV/atom

Cell lengths 5.9027, 5.9027, 25.9981 Å; angles 90.00, 90.00, 134.14 degrees
Closest atoms and distances in Å follow each position.
Element x y z (fractional)
Eu 0.3521 0.6479 0.0420  12 Ga 3.14-3.43
Eu 0.6479 0.3521 0.9580  12 Ga 3.14-3.43
Eu 0.3521 0.6479 0.4580  12 Ga 3.14-3.43
Eu 0.6479 0.3521 0.5420  12 Ga 3.14-3.43
Eu 0.8390 0.1610 0.8320  11 Ga 3.18-3.43
Eu 0.1610 0.8390 0.1680  11 Ga 3.18-3.43
Eu 0.8390 0.1610 0.6680  11 Ga 3.18-3.43
Eu 0.1610 0.8390 0.3320  11 Ga 3.18-3.43
Eu 0.8794 0.1206 0.2500  9 Ga 3.19-3.36
Eu 0.1206 0.8794 0.7500  9 Ga 3.19-3.36
Ga 0.4594 0.5406 0.1617  4 Ga 2.68-2.82
Ga 0.5406 0.4594 0.8383  4 Ga 2.68-2.82
Ga 0.4594 0.5406 0.3383  4 Ga 2.68-2.82
Ga 0.5406 0.4594 0.6617  4 Ga 2.68-2.82
Ga 0.9492 0.0508 0.9530  4 Ga 2.68-2.80
Ga 0.0508 0.9492 0.0470  4 Ga 2.68-2.80
Ga 0.9492 0.0508 0.5470  4 Ga 2.68-2.80
Ga 0.0508 0.9492 0.4530  4 Ga 2.68-2.80
Ga 0.8698 0.1302 0.1238  4 Ga 2.68-2.80
Ga 0.1302 0.8698 0.8762  4 Ga 2.68-2.80
Ga 0.8698 0.1302 0.3762  4 Ga 2.68-2.80
Ga 0.1302 0.8698 0.6238  4 Ga 2.68-2.80
Ga 0.3591 0.6409 0.9161  4 Ga 2.68-2.82
Ga 0.6409 0.3591 0.0839  4 Ga 2.68-2.82
Ga 0.3591 0.6409 0.5839  4 Ga 2.68-2.82
Ga 0.6409 0.3591 0.4161  4 Ga 2.68-2.82
Ga 0.4140 0.5860 0.7500  2 Ga 2.68
Ga 0.5860 0.4140 0.2500  2 Ga 2.68

=====

Entry 20:
An optimized crystal structure of EuGa2, computed with GGA-PBE.

## Properties
VASP energy = -36.03 eV/cell
calculated formation energy = -0.56 eV/atom

Cell lengths 5.8717, 5.8717, 5.8717 Å; angles 133.71, 99.82, 97.96 degrees
Closest atoms and distances in Å follow each position.
Element x y z (fractional)
Eu 0.7057 0.9557 0.7500  12 Ga 3.14-3.42
Eu 0.2943 0.0443 0.2500  12 Ga 3.14-3.42
Ga 0.1003 0.6616 0.4387  4 Ga 2.66-2.85
Ga 0.8997 0.3384 0.5613  4 Ga 2.66-2.85
Ga 0.7228 0.6616 0.0613  4 Ga 2.66-2.85
Ga 0.2772 0.3384 0.9387  4 Ga 2.66-2.85